[1]
Sc2TeRh | PBE | optimized geometry

Summary:
**Size of the total moment**: 0.00 Bohr magnetons per cell
**E_form (uncorrected)**: -0.74 eV/atom

Cell lengths 4.7303, 4.7303, 3.5867 Å; angles 90.00, 90.00, 98.13 degrees
Positions (direct):
1 Rh 0.0000 0.5000 0.5000
2 Sc 0.5000 0.5000 0.0000
3 Sc 0.0000 0.0000 0.0000
4 Te 0.5000 0.0000 0.5000

[2]
ScTeRh2 | PBE | optimized geometry

Summary:
**Size of the total moment**: 0.00 Bohr magnetons per cell
**E_form (uncorrected)**: -0.63 eV/atom

Cell lengths 5.2470, 5.2470, 5.2470 Å; angles 135.84, 135.83, 64.23 degrees
Positions (direct):
1 Sc 0.4999 0.4999 0.0000
2 Rh 0.0000 0.0000 0.0000
3 Rh 0.7501 0.2501 0.5000
4 Te 0.2499 0.7499 0.5000

[3]
ScTeRh2 | PBE | optimized geometry

Summary:
**Size of the total moment**: 0.00 Bohr magnetons per cell
**E_form (uncorrected)**: -0.54 eV/atom

Cell lengths 3.4410, 3.8879, 5.4192 Å; angles 90.00, 90.00, 90.00 degrees
Positions (direct):
1 Rh 0.5000 0.5000 0.2847
2 Rh 0.0000 0.0000 0.9648
3 Sc 0.0000 0.0000 0.4555
4 Te 0.5000 0.5000 0.7950

[4]
Sc2TeRh | PBE | optimized geometry

Summary:
**Size of the total moment**: 0.00 Bohr magnetons per cell
**E_form (uncorrected)**: -0.58 eV/atom

Cell lengths 7.4724, 7.4724, 6.1465 Å; angles 52.57, 52.57, 90.00 degrees
Positions (direct):
1 Sc 0.3750 0.4187 0.7500
2 Sc 0.8750 0.8313 0.7500
3 Sc 0.5813 0.1250 0.2500
4 Sc 0.1687 0.6250 0.2500
5 Rh 0.2500 0.7500 0.5000
6 Rh 0.5000 0.5000 0.0000
7 Te 0.7500 0.2500 0.5000
8 Te 0.0000 0.0000 0.0000

[5]
ScTeRh2 | PBE | optimized geometry

Summary:
**Size of the total moment**: 0.00 Bohr magnetons per cell
**E_form (uncorrected)**: -0.64 eV/atom

Cell lengths 4.2830, 4.2830, 3.7674 Å; angles 90.00, 90.00, 90.00 degrees
Positions (direct):
1 Sc 0.0000 0.3751 0.6250
2 Te 0.5000 0.8750 0.6249
3 Rh 0.0000 0.8750 0.1249
4 Rh 0.5000 0.3750 0.1251

[6]
ScTeRh2 | PBE | optimized geometry

Summary:
**Size of the total moment**: 0.00 Bohr magnetons per cell
**E_form (uncorrected)**: -0.64 eV/atom

Cell lengths 5.0602, 5.0602, 4.1649 Å; angles 73.44, 73.44, 43.85 degrees
Positions (direct):
1 Rh 0.7513 0.7513 0.7054
2 Rh 0.9934 0.9934 0.0568
3 Sc 0.4983 0.4983 0.5367
4 Te 0.2570 0.2570 0.2011